Below is a relaxed structure of V2Ge2Pb, with properties calculated at the PBE level.

Lattice parameters (Å, degrees): 7.144 7.144 3.376 90.00 90.00 90.00
Fractional positions:
V 0.138 0.362 0.000
V 0.362 0.862 0.000
V 0.638 0.138 0.000
V 0.862 0.638 0.000
Ge 0.146 0.646 0.500
Ge 0.354 0.146 0.500
Ge 0.646 0.854 0.500
Ge 0.854 0.354 0.500
Pb 0.000 0.000 0.000
Pb 0.500 0.500 0.000

- relative energy among the computed polymorphs (eV/atom) = 0.000
- E (eV per cell) = -61.0



Below is a relaxed structure of Ag2BAsS4, with properties calculated at the PBE level.

Lattice parameters (Å, degrees): 8.222 6.566 5.952 90.00 90.00 90.00
Fractional positions:
Ag 0.248 0.175 0.000
Ag 0.252 0.825 0.500
Ag 0.748 0.825 0.500
Ag 0.752 0.175 0.000
B 0.000 0.651 0.987
B 0.500 0.349 0.487
As 0.000 0.318 0.472
As 0.500 0.682 0.972
S 0.000 0.376 0.866
S 0.000 0.642 0.325
S 0.195 0.794 0.913
S 0.305 0.206 0.413
S 0.500 0.358 0.825
S 0.500 0.624 0.366
S 0.695 0.206 0.413
S 0.805 0.794 0.913

- uncorrected formation energy (eV per atom) = -0.138
- E (eV per cell) = -69.3



Below is a relaxed structure of MnTl2Hg2, with properties calculated at the PBE level.

Lattice parameters (Å, degrees): 8.507 8.507 8.507 151.05 151.05 41.40
Fractional positions:
Mn 0.000 0.000 0.000
Tl 0.250 0.750 0.500
Tl 0.750 0.250 0.500
Hg 0.411 0.411 0.000
Hg 0.589 0.589 0.000

- E (eV per cell) = -12.0



Below is a relaxed structure of Pm3Pr4TmS8, with properties calculated at the PBE level.

Lattice parameters (Å, degrees): 8.120 8.120 8.120 59.63 59.63 59.63
Fractional positions:
Pm 0.000 0.500 0.500
Pm 0.500 0.000 0.500
Pm 0.500 0.500 0.000
Pr 0.000 0.000 0.500
Pr 0.000 0.500 0.000
Pr 0.500 0.000 0.000
Pr 0.500 0.500 0.500
Tm 0.000 0.000 0.000
S 0.241 0.241 0.755
S 0.241 0.755 0.241
S 0.245 0.759 0.759
S 0.252 0.252 0.252
S 0.748 0.748 0.748
S 0.755 0.241 0.241
S 0.759 0.245 0.759
S 0.759 0.759 0.245

- uncorrected formation energy (eV per atom) = -2.010
- E (eV per cell) = -103.0



Below is a relaxed structure of TbPm2PrP4, with properties calculated at the PBE level.

Lattice parameters (Å, degrees): 7.143 4.128 7.143 90.00 109.45 90.00
Fractional positions:
Tb 0.000 0.000 0.000
Pm 0.500 0.000 0.500
Pm 0.500 0.500 0.000
Pr 0.000 0.500 0.500
P 0.247 0.500 0.245
P 0.251 0.000 0.755
P 0.749 0.000 0.245
P 0.753 0.500 0.755

- E (eV per cell) = -53.0



Below is a relaxed structure of SmMg2Cu, with properties calculated at the PBE level.

Lattice parameters (Å, degrees): 4.399 8.050 5.492 90.00 113.57 90.00
Fractional positions:
Sm 0.055 0.250 0.110
Sm 0.945 0.750 0.890
Mg 0.350 0.055 0.699
Mg 0.350 0.445 0.699
Mg 0.650 0.555 0.301
Mg 0.650 0.945 0.301
Cu 0.235 0.750 0.469
Cu 0.765 0.250 0.531

- E (eV per cell) = -25.4